No. 1
## BiIrSN2 (PBE)

Data for a relaxed BiIrSN2 crystal.

a = 3.9239 Å, b = 3.9239 Å, c = 5.0958 Å
α = 90.00°, β = 90.00°, γ = 90.00°
Sites, in units of the cell vectors:
Bi: 0.0000 0.0000 0.0000
Ir: 0.5000 0.5000 0.5000
S: 0.5000 0.5000 0.0000
N: 0.0000 0.5000 0.5000
N: 0.5000 0.0000 0.5000

Values from the calculation:
As for the uncorrected formation energy: 0.8280 eV per atom. The space group is P4/mmm. The calculation puts the polymorph energy (0 for the lowest one) at 0.0 meV/atom.

***

No. 2
## LiCeNd2 (PBE)

Data for a relaxed LiCeNd2 crystal.

a = 5.7667 Å, b = 5.7667 Å, c = 3.5482 Å
α = 90.00°, β = 90.00°, γ = 90.00°
Sites, in units of the cell vectors:
Li: 0.0000 0.0000 0.0000
Ce: 0.5000 0.5000 0.0000
Nd: 0.0000 0.5000 0.5000
Nd: 0.5000 0.0000 0.5000

Values from the calculation:
Its formation energy is 0.15 eV per atom. The space group is P4/mmm. The calculation puts the polymorph energy (0 for the lowest one) at 71.9 meV/atom.

***

No. 3
## Ac3CoNi (PBE)

Data for a relaxed Ac3CoNi crystal.

a = 7.2920 Å, b = 7.2920 Å, c = 11.7470 Å
α = 113.81°, β = 113.81°, γ = 34.06°
Sites, in units of the cell vectors:
Ac: 0.0051 0.0051 0.2519
Ac: 0.3196 0.3196 0.4123
Ac: 0.3227 0.3227 0.9080
Ac: 0.6773 0.6773 0.0920
Ac: 0.6804 0.6804 0.5877
Ac: 0.9949 0.9949 0.7481
Co: 0.3419 0.3419 0.6743
Co: 0.6581 0.6581 0.3257
Ni: 0.3415 0.3415 0.1686
Ni: 0.6585 0.6585 0.8314

Values from the calculation:
Its formation energy is -0.10 eV per atom. The space group is C2/m.

***

No. 4
## BaCa2Br (PBE)

Data for a relaxed BaCa2Br crystal.

a = 3.9835 Å, b = 3.9835 Å, c = 11.3375 Å
α = 90.00°, β = 90.00°, γ = 113.98°
Sites, in units of the cell vectors:
Ba: 0.0000 0.0000 0.0000
Ca: 0.0000 0.0000 0.4287
Ca: 0.5000 0.5000 0.6985
Br: 0.5000 0.5000 0.2374

Values from the calculation:
As for the uncorrected formation energy: -0.6457 eV per atom. The space group is Cmm2.

***

No. 5
## AcYRuPt (PBE)

Data for a relaxed AcYRuPt crystal.

a = 5.0905 Å, b = 5.0905 Å, c = 5.0905 Å
α = 60.00°, β = 60.00°, γ = 60.00°
Sites, in units of the cell vectors:
Ac: 0.0000 0.0000 0.0000
Y: 0.5000 0.5000 0.5000
Ru: 0.7500 0.7500 0.7500
Pt: 0.2500 0.2500 0.2500

Values from the calculation:
Its formation energy is -0.53 eV per atom. The space group is F-43m.

***

No. 6
## CrCuRe2 (PBE)

Data for a relaxed CrCuRe2 crystal.

a = 2.6879 Å, b = 3.8792 Å, c = 5.2333 Å
α = 90.00°, β = 90.00°, γ = 90.00°
Sites, in units of the cell vectors:
Cr: 0.0000 0.0000 0.0000
Cu: 0.5000 0.5000 0.2417
Re: 0.0000 0.0000 0.4972
Re: 0.5000 0.5000 0.7503

Values from the calculation:
Its formation energy is 0.25 eV per atom. The space group is Pmm2. The calculation puts the polymorph energy (0 for the lowest one) at 22.7 meV/atom.

***

No. 7
## Pm2TaGa4Pt3 (PBE)

Data for a relaxed Pm2TaGa4Pt3 crystal.

a = 4.1612 Å, b = 4.1612 Å, c = 11.2951 Å
α = 90.00°, β = 90.00°, γ = 90.00°
Sites, in units of the cell vectors:
Pm: 0.0000 0.5000 0.2488
Pm: 0.5000 0.0000 0.7512
Ta: 0.0000 0.0000 0.5000
Ga: 0.0000 0.0000 0.0000
Ga: 0.0000 0.5000 0.6462
Ga: 0.5000 0.0000 0.3538
Ga: 0.5000 0.5000 0.0000
Pt: 0.0000 0.5000 0.8674
Pt: 0.5000 0.0000 0.1326
Pt: 0.5000 0.5000 0.5000

Values from the calculation:
Its formation energy is -0.79 eV per atom. The space group is P-4m2.

***

No. 8
## KMnRhCl6 (PBE)

Data for a relaxed KMnRhCl6 crystal.

a = 6.4170 Å, b = 6.4170 Å, c = 6.9774 Å
α = 90.00°, β = 90.00°, γ = 120.00°
Sites, in units of the cell vectors:
K: 0.0000 0.0000 0.0000
Mn: 0.3333 0.6667 0.5000
Rh: 0.6667 0.3333 0.5000
Cl: 0.3770 0.0195 0.6957
Cl: 0.3770 0.3575 0.3043
Cl: 0.6425 0.0195 0.3043
Cl: 0.6425 0.6230 0.6957
Cl: 0.9805 0.3575 0.6957
Cl: 0.9805 0.6230 0.3043

Values from the calculation:
As for the uncorrected formation energy: -1.0825 eV per atom. The space group is P312.